Entry 1:
Material: RbSrSmSe3
Method: DFT, PBE
State: relaxed

The structure in POSCAR format:
```
RbSrSmSe3
1.0
9.652 -2.151 0.000
9.652 2.151 0.000
-6.022 0.000 10.608
Rb Sr Sm Se
2 2 2 6
direct
0.048 0.048 0.248
0.952 0.952 0.752
0.385 0.385 0.324
0.615 0.615 0.676
0.332 0.332 0.932
0.668 0.668 0.068
0.000 0.000 0.500
0.156 0.156 0.883
0.215 0.215 0.248
0.500 0.500 0.000
0.785 0.785 0.752
0.844 0.844 0.117
```

As for the total DFT energy (no corrections): -4.675 eV per atom. Its space group is No. 12.



Entry 2:
Material: Zr3CuP5
Method: DFT, PBE
State: relaxed

The structure in POSCAR format:
```
Zr3CuP5
1.0
6.205 0.000 0.000
-3.102 5.373 0.000
0.000 0.000 5.782
Zr Cu P
3 1 5
direct
0.000 0.500 0.000
0.500 0.000 0.000
0.500 0.500 0.000
0.000 0.000 0.500
0.000 0.000 0.000
0.333 0.667 0.318
0.333 0.667 0.682
0.667 0.333 0.318
0.667 0.333 0.682
```

As for the total DFT energy (no corrections): -6.520 eV per atom. Its space group is No. 191.



Which of these has the lowest total DFT energy (no corrections)? Zr3CuP5



Which formula does entry 2 have? Zr3CuP5



Repeat the first record exactly.
Material: RbSrSmSe3
Method: DFT, PBE
State: relaxed

The structure in POSCAR format:
```
RbSrSmSe3
1.0
9.652 -2.151 0.000
9.652 2.151 0.000
-6.022 0.000 10.608
Rb Sr Sm Se
2 2 2 6
direct
0.048 0.048 0.248
0.952 0.952 0.752
0.385 0.385 0.324
0.615 0.615 0.676
0.332 0.332 0.932
0.668 0.668 0.068
0.000 0.000 0.500
0.156 0.156 0.883
0.215 0.215 0.248
0.500 0.500 0.000
0.785 0.785 0.752
0.844 0.844 0.117
```

As for the total DFT energy (no corrections): -4.675 eV per atom. Its space group is No. 12.